The following is a PBE calculation of crystalline LiCeOs at its relaxed geometry, from Alexandria via LeMat-Bulk.

For the total DFT energy (no corrections), the calculation gives -18.641 eV per formula unit.

The space group is R-3m (No. 166, hexagonal axes) and the conventional cell measures 4.2500, 4.2500 and 21.0734 Å, with angles of 90.00, 90.00 and 120.00 degrees. Symmetry generates all atoms from Li at (0.0000, 0.0000, 0.0532), Ce at (0.0000, 0.0000, 0.2047) and Os at (0.0000, 0.0000, 0.3447).